Record 1
Entry from the Alexandria database: Tm3Zn4Ag4 after structural relaxation (PBE-GGA).

Unit cell a=3.400 b=4.586 c=14.324 alpha=80.55 beta=83.15 gamma=89.95
Atoms (fractional coordinates):
Ag: 0.264 0.264 0.472
Ag: 0.736 0.736 0.528
Ag: 0.593 0.094 0.815
Ag: 0.407 0.906 0.185
Tm: 0.000 0.000 0.000
Tm: 0.140 0.640 0.721
Tm: 0.860 0.360 0.279
Zn: 0.545 0.545 0.910
Zn: 0.687 0.187 0.627
Zn: 0.455 0.455 0.090
Zn: 0.313 0.813 0.373

As for the space group: P-1. The formation enthalpy at 0 K is -281 kJ/mol of formula units.

Record 2
Entry from the Alexandria database: Ce3SbPN after structural relaxation (PBE-GGA).

Unit cell a=4.157 b=8.752 c=9.133 alpha=102.51 beta=90.00 gamma=90.00
Last column: magnetic moment on the atom in μB.
Atoms (fractional coordinates):
N: 0.250 0.085 0.600  -0.03
N: 0.750 0.915 0.400  -0.03
Ce: 0.250 0.113 0.850  0.62
Ce: 0.250 0.832 0.477  0.49
Ce: 0.750 0.168 0.523  0.49
Ce: 0.250 0.569 0.838  0.84
Ce: 0.750 0.887 0.150  0.62
Ce: 0.750 0.431 0.162  0.84
Sb: 0.250 0.180 0.227  -0.03
Sb: 0.750 0.820 0.773  -0.03
P: 0.250 0.658 0.155  -0.03
P: 0.750 0.342 0.845  -0.03

As for the space group: P2_1/m. The value obtained for the formation energy from raw total energies is -1.2499 eV per atom.

Record 3
Entry from the Alexandria database: YUCSe2 after structural relaxation (PBE-GGA).

Unit cell a=3.918 b=3.918 c=14.472 alpha=90.00 beta=90.00 gamma=90.00
Last column: magnetic moment on the atom in μB.
Atoms (fractional coordinates):
U: 0.000 0.500 0.419  0.80
U: 0.500 0.000 0.581  0.80
Se: 0.000 0.500 0.686  -0.03
Se: 0.500 0.000 0.314  -0.03
Se: 0.000 0.500 0.090  0.00
Se: 0.500 0.000 0.910  0.00
C: 0.500 0.500 0.500  -0.06
C: 0.000 0.000 0.500  -0.06
Y: 0.000 0.500 0.877  0.00
Y: 0.500 0.000 0.123  0.00

As for the space group: P4/nmm. The value obtained for the formation energy from raw total energies is -1.1078 eV per atom.

Record 4
Entry from the Alexandria database: TaCu2Mo after structural relaxation (PBE-GGA).

Unit cell a=4.398 b=4.398 c=4.398 alpha=60.00 beta=60.00 gamma=60.00
Atoms (fractional coordinates):
Cu: 0.250 0.250 0.250
Cu: 0.000 0.000 0.000
Ta: 0.750 0.750 0.750
Mo: 0.500 0.500 0.500

The value obtained for the polymorph energy (0 for the lowest one) is 311 meV/atom. As for the space group: F-43m. The formation enthalpy at 0 K is 162 kJ/mol of formula units.